No. 1
{
  "formula": "Zr2TiBr",
  "functional": "PBE-GGA",
  "state": "optimized geometry",
  "lattice": [[0.0000, 3.4766, 3.4766], [3.4766, 0.0000, 3.4766], [3.4766, 3.4766, 0.0000]],
  "species": ["Zr", "Zr", "Ti", "Br"],
  "fractional_positions": [[0.2500, 0.2500, 0.2500], [0.7500, 0.7500, 0.7500], [0.0000, 0.0000, 0.0000], [0.5000, 0.5000, 0.5000]],
  "mass_density_g_cm3": 6.13,
  "total_magnetization_mub_per_cell": 1.2,
  "e_tot_ev_per_atom": -6.263,
  "space_group": "Fm-3m"
}

=====

No. 2
{
  "formula": "Zr3TiBr",
  "functional": "PBE-GGA",
  "state": "optimized geometry",
  "lattice": [[4.9534, 0.0000, 0.0000], [0.0000, 4.9534, 0.0000], [0.0000, 0.0000, 4.9534]],
  "species": ["Zr", "Zr", "Zr", "Ti", "Br"],
  "fractional_positions": [[0.0000, 0.0000, 0.5000], [0.0000, 0.5000, 0.0000], [0.5000, 0.0000, 0.0000], [0.5000, 0.5000, 0.5000], [0.0000, 0.0000, 0.0000]],
  "mass_density_g_cm3": 5.48,
  "total_magnetization_mub_per_cell": 0.0,
  "de_polymorph_ev_per_atom": 0.0000,
  "e_tot_ev_per_atom": -6.581,
  "space_group": "Pm-3m"
}

=====

No. 3
{
  "formula": "ZrTi3Br",
  "functional": "PBE-GGA",
  "state": "optimized geometry",
  "lattice": [[5.0017, 0.0000, 0.0000], [0.0000, 5.0017, 0.0000], [0.0000, 0.0000, 5.0017]],
  "species": ["Zr", "Ti", "Ti", "Ti", "Br"],
  "fractional_positions": [[0.0000, 0.0000, 0.0000], [0.0000, 0.0000, 0.5000], [0.0000, 0.5000, 0.0000], [0.5000, 0.0000, 0.0000], [0.5000, 0.5000, 0.5000]],
  "mass_density_g_cm3": 4.18,
  "total_magnetization_mub_per_cell": 3.1,
  "de_polymorph_ev_per_atom": 0.8877,
  "e_tot_ev_per_atom": -5.567,
  "space_group": "Pm-3m"
}

=====

No. 4
{
  "formula": "Zr2TiBr6",
  "functional": "PBE-GGA",
  "state": "optimized geometry",
  "lattice": [[6.9796, -5.8615, 0.0000], [6.9796, 5.8615, 0.0000], [-2.8691, 0.0000, 5.7774]],
  "species": ["Zr", "Zr", "Zr", "Zr", "Ti", "Ti", "Br", "Br", "Br", "Br", "Br", "Br", "Br", "Br", "Br", "Br", "Br", "Br"],
  "fractional_positions": [[0.1699, 0.3070, 0.4834], [0.3070, 0.1699, 0.9834], [0.6930, 0.8301, 0.0166], [0.8301, 0.6930, 0.5166], [0.0806, 0.9194, 0.7500], [0.9194, 0.0806, 0.2500], [0.0034, 0.2163, 0.7078], [0.1272, 0.6189, 0.7834], [0.2163, 0.0034, 0.2078], [0.2848, 0.4559, 0.2761], [0.3811, 0.8728, 0.7166], [0.4559, 0.2848, 0.7761], [0.5441, 0.7152, 0.2239], [0.6189, 0.1272, 0.2834], [0.7152, 0.5441, 0.7239], [0.7837, 0.9966, 0.7922], [0.8728, 0.3811, 0.2166], [0.9966, 0.7837, 0.2922]],
  "mass_density_g_cm3": 4.99,
  "total_magnetization_mub_per_cell": 0.8,
  "e_tot_ev_per_atom": -4.878,
  "space_group": "C2/c"
}

=====

No. 5
{
  "formula": "ZrTiBr4",
  "functional": "PBE-GGA",
  "state": "optimized geometry",
  "lattice": [[6.9241, 0.0000, 0.0000], [3.4557, 6.5894, 0.0000], [3.4502, 0.7584, 8.1186]],
  "species": ["Zr", "Zr", "Ti", "Ti", "Br", "Br", "Br", "Br", "Br", "Br", "Br", "Br"],
  "fractional_positions": [[0.1514, 0.3482, 0.1030], [0.8486, 0.6518, 0.8970], [0.3567, 0.6373, 0.9036], [0.6433, 0.3627, 0.0964], [0.0604, 0.2406, 0.8731], [0.1846, 0.7407, 0.6605], [0.3322, 0.2645, 0.3427], [0.4262, 0.7564, 0.1271], [0.5738, 0.2436, 0.8729], [0.6678, 0.7355, 0.6573], [0.8154, 0.2593, 0.3395], [0.9396, 0.7594, 0.1269]],
  "mass_density_g_cm3": 4.11,
  "total_magnetization_mub_per_cell": 0.0,
  "de_polymorph_ev_per_atom": 0.0863,
  "e_tot_ev_per_atom": -4.965,
  "space_group": "P-1"
}

=====

No. 6
{
  "formula": "ZrTi5Br12",
  "functional": "PBE-GGA",
  "state": "optimized geometry",
  "lattice": [[3.0374, -5.5321, 0.0000], [3.0374, 5.5321, 0.0000], [-0.0113, 0.0000, 14.6228]],
  "species": ["Zr", "Ti", "Ti", "Ti", "Ti", "Ti", "Br", "Br", "Br", "Br", "Br", "Br", "Br", "Br", "Br", "Br", "Br", "Br"],
  "fractional_positions": [[0.0000, 0.0000, 0.0000], [0.1270, 0.8730, 0.5000], [0.3759, 0.6241, 0.0000], [0.5000, 0.5000, 0.5000], [0.6241, 0.3759, 0.0000], [0.8730, 0.1270, 0.5000], [0.0045, 0.6518, 0.1094], [0.1624, 0.5067, 0.3949], [0.1761, 0.1761, 0.6254], [0.3329, 0.3329, 0.1302], [0.3482, 0.9955, 0.8906], [0.4933, 0.8376, 0.6051], [0.5067, 0.1624, 0.3949], [0.6518, 0.0045, 0.1094], [0.6671, 0.6671, 0.8698], [0.8239, 0.8239, 0.3746], [0.8376, 0.4933, 0.6051], [0.9955, 0.3482, 0.8906]],
  "mass_density_g_cm3": 4.36,
  "total_magnetization_mub_per_cell": 0.3,
  "e_tot_ev_per_atom": -4.876,
  "space_group": "C2/m"
}

=====

No. 7
{
  "formula": "Zr3TiBr",
  "functional": "PBE-GGA",
  "state": "optimized geometry",
  "lattice": [[5.0560, 0.0000, 0.0000], [0.0000, 5.0560, 0.0000], [0.0000, 0.0000, 5.0560]],
  "species": ["Zr", "Zr", "Zr", "Ti", "Br"],
  "fractional_positions": [[0.0000, 0.0000, 0.5000], [0.0000, 0.5000, 0.0000], [0.5000, 0.0000, 0.0000], [0.0000, 0.0000, 0.0000], [0.5000, 0.5000, 0.5000]],
  "mass_density_g_cm3": 5.16,
  "total_magnetization_mub_per_cell": 1.0,
  "de_polymorph_ev_per_atom": 0.3509,
  "e_tot_ev_per_atom": -6.230,
  "space_group": "Pm-3m"
}

=====

No. 8
{
  "formula": "ZrTiBr",
  "functional": "PBE-GGA",
  "state": "optimized geometry",
  "lattice": [[5.1018, -1.6120, 0.0000], [5.1018, 1.6120, 0.0000], [-3.6324, 0.0000, 8.2526]],
  "species": ["Zr", "Zr", "Ti", "Ti", "Br", "Br"],
  "fractional_positions": [[0.1077, 0.1077, 0.4046], [0.8923, 0.8923, 0.5954], [0.2309, 0.2309, 0.7481], [0.7691, 0.7691, 0.2519], [0.4108, 0.4108, 0.1289], [0.5892, 0.5892, 0.8711]],
  "mass_density_g_cm3": 5.36,
  "total_magnetization_mub_per_cell": 1.7,
  "e_tot_ev_per_atom": -6.164,
  "space_group": "C2/m"
}

=====

No. 9
{
  "formula": "TlBr3",
  "functional": "PBE-GGA",
  "state": "optimized geometry",
  "lattice": [[5.4068, 0.0000, 0.0000], [0.0000, 5.4068, 0.0000], [0.0000, 0.0000, 5.5060]],
  "species": ["Tl", "Br", "Br", "Br"],
  "fractional_positions": [[0.0000, 0.0000, 0.0000], [0.0000, 0.0000, 0.5000], [0.5000, 0.5000, 0.2523], [0.5000, 0.5000, 0.7477]],
  "mass_density_g_cm3": 4.58,
  "total_magnetization_mub_per_cell": 0.0,
  "e_tot_ev_per_atom": -2.098,
  "space_group": "P4/mmm"
}

=====

No. 10
{
  "formula": "TlBr3",
  "functional": "PBE-GGA",
  "state": "optimized geometry",
  "lattice": [[4.2188, 0.0000, 0.0000], [-2.1094, 3.6536, 0.0000], [0.0000, 0.0000, 8.3772]],
  "species": ["Tl", "Br", "Br", "Br"],
  "fractional_positions": [[0.0000, 0.0000, 0.0000], [0.0000, 0.0000, 0.5000], [0.3333, 0.6667, 0.2250], [0.3333, 0.6667, 0.7750]],
  "mass_density_g_cm3": 5.71,
  "total_magnetization_mub_per_cell": 0.0,
  "e_tot_ev_per_atom": -1.943,
  "space_group": "P-6m2"
}

=====

No. 11
{
  "formula": "TlBr3",
  "functional": "PBE-GGA",
  "state": "optimized geometry",
  "lattice": [[4.3339, 0.0000, 0.0000], [0.0000, 7.3958, 0.0000], [0.0000, 0.0000, 4.3167]],
  "species": ["Tl", "Br", "Br", "Br"],
  "fractional_positions": [[0.0000, 0.0000, 0.0000], [0.0000, 0.5000, 0.5221], [0.5000, 0.0000, 0.5007], [0.5000, 0.5000, 0.0218]],
  "mass_density_g_cm3": 5.33,
  "total_magnetization_mub_per_cell": 0.0,
  "e_tot_ev_per_atom": -2.082,
  "space_group": "Pmm2"
}

=====

No. 12
{
  "formula": "Tl2Br",
  "functional": "PBE-GGA",
  "state": "optimized geometry",
  "lattice": [[5.6103, 0.0000, 0.0000], [-2.8052, 4.8587, 0.0000], [0.0000, 0.0000, 3.6334]],
  "species": ["Tl", "Tl", "Br"],
  "fractional_positions": [[0.3333, 0.6667, 0.0000], [0.6667, 0.3333, 0.0000], [0.0000, 0.0000, 0.5000]],
  "mass_density_g_cm3": 8.19,
  "total_magnetization_mub_per_cell": 0.0,
  "de_polymorph_ev_per_atom": 0.2001,
  "e_tot_ev_per_atom": -2.382,
  "space_group": "P6/mmm"
}